The following is a DFT calculation (PBE-GGA) of crystalline Er15Tm4Sc at its relaxed geometry.

**Electronic total energy**: -4.6050 eV per atom

Cell: 4.9370 4.9370 24.6632 Å, 90.00 90.00 90.00°
Fractional coordinates of all 20 atoms:
Er 0.5000 0.0000 0.7011
Er 0.5000 0.0000 0.9024
Er 0.5000 0.5000 0.1983
Er 0.0000 0.5000 0.9024
Er 0.5000 0.0000 0.2989
Er 0.0000 0.5000 0.0976
Er 0.0000 0.5000 0.5000
Er 0.5000 0.5000 0.0000
Er 0.5000 0.5000 0.6005
Er 0.5000 0.5000 0.3995
Er 0.0000 0.5000 0.7011
Er 0.0000 0.5000 0.2989
Er 0.5000 0.0000 0.0976
Er 0.5000 0.0000 0.5000
Er 0.5000 0.5000 0.8017
Tm 0.0000 0.0000 0.8014
Tm 0.0000 0.0000 0.1986
Tm 0.0000 0.0000 0.6005
Tm 0.0000 0.0000 0.3995
Sc 0.0000 0.0000 0.0000